A geometry-optimized Sb2PbW structure, computed with PBE.

Unit cell a=4.615 b=4.615 c=7.379 alpha=97.29 beta=97.29 gamma=42.17
Element x y z (fractional)
Sb 0.226 0.226 0.184
Sb 0.774 0.774 0.816
Pb 0.000 0.000 0.500
W 0.500 0.500 0.000

## Properties
Calculated volume in Å³ per cell: 104.5
SG: C2/m (12)
E_form (uncorrected) in meV/atom: 556
Magnetization in μB/cell: 0.51



A geometry-optimized Y4TlSnN structure, computed with PBE.

Unit cell a=8.704 b=8.704 c=6.669 alpha=90.00 beta=90.00 gamma=134.95
Element x y z (fractional)
Y 0.000 0.500 0.000
Y 0.000 0.500 0.500
Y 0.087 0.913 0.750
Y 0.411 0.589 0.750
Y 0.500 0.000 0.000
Y 0.500 0.000 0.500
Y 0.589 0.411 0.250
Y 0.913 0.087 0.250
Tl 0.109 0.891 0.250
Tl 0.891 0.109 0.750
Sn 0.391 0.609 0.250
Sn 0.609 0.391 0.750
N 0.251 0.749 0.750
N 0.749 0.251 0.250

## Properties
Calculated volume in Å³ per cell: 357.5
SG: Cmcm (63)
E_form (uncorrected) in meV/atom: -884
Magnetization in μB/cell: 0.00



A geometry-optimized Na4CdH6 structure, computed with PBE.

Unit cell a=6.319 b=6.319 c=11.276 alpha=109.85 beta=109.85 gamma=58.36
Element x y z (fractional)
Na 0.084 0.482 0.872
Na 0.114 0.886 0.500
Na 0.333 0.586 0.201
Na 0.482 0.084 0.372
Na 0.542 0.778 0.026
Na 0.586 0.333 0.701
Na 0.778 0.542 0.526
Na 0.886 0.114 0.000
Cd 0.481 0.948 0.765
Cd 0.948 0.481 0.265
H 0.079 0.494 0.439
H 0.211 0.740 0.026
H 0.235 0.276 0.191
H 0.276 0.235 0.691
H 0.325 0.749 0.694
H 0.412 0.795 0.402
H 0.494 0.079 0.939
H 0.740 0.211 0.526
H 0.749 0.325 0.194
H 0.794 0.802 0.235
H 0.795 0.412 0.902
H 0.802 0.794 0.735

## Properties
Calculated volume in Å³ per cell: 353.2
SG: Cc (9)
Magnetization in μB/cell: 0.00



A geometry-optimized Na4Tm3AlSe8 structure, computed with PBE.

Unit cell a=8.405 b=8.405 c=8.405 alpha=57.28 beta=57.28 gamma=57.28
Element x y z (fractional)
Na 0.000 0.000 0.000
Na 0.000 0.500 0.500
Na 0.500 0.000 0.500
Na 0.500 0.500 0.000
Tm 0.000 0.000 0.500
Tm 0.000 0.500 0.000
Tm 0.500 0.000 0.000
Al 0.500 0.500 0.500
Se 0.243 0.243 0.243
Se 0.258 0.730 0.730
Se 0.270 0.270 0.742
Se 0.270 0.742 0.270
Se 0.730 0.258 0.730
Se 0.730 0.730 0.258
Se 0.742 0.270 0.270
Se 0.757 0.757 0.757

## Properties
Calculated volume in Å³ per cell: 393.6
SG: R-3m (166)
E_form (uncorrected) in meV/atom: -1492
Magnetization in μB/cell: 0.00



A geometry-optimized Li3CuPCO7 structure, computed with PBE.

Unit cell a=5.201 b=6.183 c=8.609 alpha=90.00 beta=103.63 gamma=90.00
Element x y z (fractional)
Li 0.162 0.250 0.080
Li 0.236 0.505 0.714
Li 0.236 0.995 0.714
Li 0.764 0.005 0.286
Li 0.764 0.495 0.286
Li 0.838 0.750 0.920
Cu 0.255 0.750 0.314
Cu 0.745 0.250 0.686
P 0.291 0.250 0.408
P 0.709 0.750 0.592
C 0.414 0.750 0.018
C 0.586 0.250 0.982
O 0.174 0.056 0.296
O 0.174 0.444 0.296
O 0.200 0.750 0.073
O 0.201 0.250 0.565
O 0.353 0.250 0.888
O 0.388 0.750 0.865
O 0.400 0.750 0.554
O 0.600 0.250 0.446
O 0.612 0.250 0.135
O 0.647 0.750 0.112
O 0.799 0.750 0.435
O 0.800 0.250 0.927
O 0.826 0.556 0.704
O 0.826 0.944 0.704

## Properties
Calculated volume in Å³ per cell: 269.0
SG: P2_1/m (11)
E_form (uncorrected) in meV/atom: -1826
Magnetization in μB/cell: 2.02



A geometry-optimized TaSiTe structure, computed with PBE.

Unit cell a=7.252 b=7.064 c=3.091 alpha=80.96 beta=74.15 gamma=24.89
Element x y z (fractional)
Ta 0.000 0.000 0.000
Si 0.367 0.367 0.633
Te 0.661 0.661 0.339

## Properties
Calculated volume in Å³ per cell: 62.5
SG: Fmm2 (42)
E_form (uncorrected) in meV/atom: 306
Magnetization in μB/cell: 0.00



A geometry-optimized NaSr2CuAg structure, computed with PBE.

Unit cell a=5.879 b=5.879 c=5.055 alpha=90.00 beta=90.00 gamma=90.00
Element x y z (fractional)
Na 0.000 0.000 0.000
Sr 0.000 0.500 0.500
Sr 0.500 0.000 0.500
Cu 0.500 0.500 0.500
Ag 0.500 0.500 0.000

## Properties
Energy of formation from the pure elements in meV/atom: 34.9
Calculated volume in Å³ per cell: 174.7
SG: P4/mmm (123)
Magnetization in μB/cell: 0.00



A geometry-optimized Rb3TbSc2S6 structure, computed with PBE.

Unit cell a=6.840 b=6.840 c=7.970 alpha=98.23 beta=98.23 gamma=120.00
Element x y z (fractional)
Rb 0.000 0.000 0.000
Rb 0.335 0.665 0.000
Rb 0.665 0.335 0.000
Tb 0.500 0.500 0.500
Sc 0.167 0.833 0.500
Sc 0.833 0.167 0.500
S 0.091 0.438 0.314
S 0.215 0.215 0.686
S 0.438 0.091 0.314
S 0.562 0.909 0.686
S 0.785 0.785 0.314
S 0.909 0.562 0.686

## Properties
Calculated volume in Å³ per cell: 309.4
SG: C2/m (12)
E_form (uncorrected) in meV/atom: -1753
Magnetization in μB/cell: 0.00



A geometry-optimized KTiBr2 structure, computed with PBE.

Unit cell a=5.300 b=5.300 c=5.300 alpha=60.00 beta=60.00 gamma=60.00
Element x y z (fractional)
K 0.000 0.000 0.000
Ti 0.500 0.500 0.500
Br 0.250 0.250 0.250
Br 0.750 0.750 0.750

## Properties
Calculated volume in Å³ per cell: 105.3
Energy relative to the lowest polymorph listed for this composition in eV/atom: 0.215
SG: Fm-3m (225)
E_form (uncorrected) in meV/atom: -513
Magnetization in μB/cell: 3.00



A geometry-optimized Sm3Th2UP6 structure, computed with PBE.

Unit cell a=9.155 b=9.155 c=8.197 alpha=103.02 beta=103.02 gamma=25.81
Element x y z (fractional)
Sm 0.000 0.000 0.000
Sm 0.332 0.332 0.667
Sm 0.668 0.668 0.333
Th 0.335 0.335 0.168
Th 0.665 0.665 0.832
U 0.000 0.000 0.500
P 0.163 0.163 0.580
P 0.167 0.167 0.083
P 0.499 0.499 0.739
P 0.501 0.501 0.261
P 0.833 0.833 0.917
P 0.837 0.837 0.420

## Properties
Energy of formation from the pure elements in meV/atom: -1464.6
Calculated volume in Å³ per cell: 291.0
SG: C2/m (12)
Magnetization in μB/cell: 2.38



Final energy list, top to bottom, in eV for the cell shown: -22.68, -93.48, -55.08, -74.18, -165.84, -19.50, -11.46, -65.99, -14.39, -90.32